[1]
VASP calculation (PBE) on crystalline Mn3TcNi12 at its relaxed geometry.

Calculated values
**Space group**: P4/mmm, No. 123
**ΔH_f (0 K)**: -42 meV/atom
**Calculated total energy**: -107.9 eV per cell

abc: 3.573 3.573 14.377
angles: 90.00 90.00 90.00
Each line ends with the local moment (μB).
Fractional coordinates of all 16 atoms:
Mn: 0.000 0.000 0.747  3.36
Mn: 0.000 0.000 0.500  -3.24
Mn: 0.000 0.000 0.253  3.36
Tc: 0.000 0.000 0.000  0.72
Ni: 0.500 0.500 0.000  0.25
Ni: 0.500 0.500 0.251  0.44
Ni: 0.500 0.500 0.500  0.01
Ni: 0.500 0.500 0.749  0.44
Ni: 0.500 0.000 0.125  0.34
Ni: 0.500 0.000 0.624  0.18
Ni: 0.500 0.000 0.376  0.18
Ni: 0.500 0.000 0.875  0.34
Ni: 0.000 0.500 0.125  0.34
Ni: 0.000 0.500 0.624  0.18
Ni: 0.000 0.500 0.376  0.18
Ni: 0.000 0.500 0.875  0.34

***

[2]
VASP calculation (PBE) on crystalline HgMoOs2 at its relaxed geometry.

Calculated values
**Space group**: P2/m, No. 10
**ΔH_f (0 K)**: 776 meV/atom
**Calculated total energy**: -30.5 eV per cell

abc: 4.642 2.775 5.142
angles: 91.42 90.00 90.00
Fractional coordinates of all 4 atoms:
Hg: 0.500 0.250 0.250
Mo: 0.500 0.750 0.750
Os: 0.000 0.055 0.972
Os: 0.000 0.445 0.528

***

[3]
VASP calculation (PBE) on crystalline CrSi2Ni7Ge2 at its relaxed geometry.

Calculated values
**Space group**: I4/mmm, No. 139
**ΔE_f (raw)**: -0.067 eV/atom
**Calculated total energy**: -71.0 eV per cell

abc: 3.457 3.457 13.216
angles: 82.49 82.49 90.01
Each line ends with the local moment (μB).
Fractional coordinates of all 12 atoms:
Cr: 0.000 0.000 0.000  1.88
Si: 0.630 0.630 0.740  0.00
Si: 0.370 0.370 0.260  0.00
Ni: 0.500 0.500 0.000  0.15
Ni: 0.281 0.281 0.438  0.01
Ni: 0.719 0.719 0.562  0.01
Ni: 0.929 0.429 0.141  -0.03
Ni: 0.429 0.929 0.141  -0.03
Ni: 0.571 0.071 0.859  -0.03
Ni: 0.071 0.571 0.859  -0.03
Ge: 0.811 0.811 0.377  0.01
Ge: 0.189 0.189 0.623  0.01

***

[4]
VASP calculation (PBE) on crystalline Y2HoAg4 at its relaxed geometry.

Calculated values
**Space group**: I4/mmm, No. 139
**ΔH_f (0 K)**: -98 meV/atom
**Calculated total energy**: -29.6 eV per cell

abc: 6.191 6.191 6.191
angles: 108.86 109.78 109.78
Fractional coordinates of all 7 atoms:
Y: 0.500 0.500 0.000
Y: 0.500 0.000 0.500
Ho: 0.000 0.000 0.000
Ag: 0.500 0.000 0.000
Ag: 0.500 0.500 0.500
Ag: 0.000 0.000 0.500
Ag: 0.000 0.500 0.000